Record 1
Below is an optimized crystal structure of La4OsCl5, with properties calculated at the PBE level.

a b c (Å): 9.3418 9.3418 8.7896
angles (deg): 107.81 107.81 26.48
Last column: magnetic moment on the atom in μB.
Fractional coordinates of all 10 atoms:
Cl  0.1721  0.1721  0.3317  0.00
Cl  0.8279  0.8279  0.6683  0.00
Cl  0.5000  0.5000  0.5000  0.00
Cl  0.1686  0.1686  0.8678  0.00
Cl  0.8314  0.8314  0.1322  0.00
La  0.6522  0.6522  0.0942  0.07
La  0.3478  0.3478  0.9058  0.07
La  0.0039  0.0039  0.2361  0.04
La  0.9961  0.9961  0.7639  0.04
Os  0.5000  0.5000  0.0000  0.00

Output
Space group   C2/m
Spin magnetization   0.6 μB per cell

=====

Record 2
Below is an optimized crystal structure of Gd2YEr, with properties calculated at the PBE level.

a b c (Å): 5.6591 7.2580 7.2580
angles (deg): 120.02 90.00 90.00
Fractional coordinates of all 8 atoms:
Gd  0.7500  0.1680  0.8339
Gd  0.2500  0.3336  0.1671
Gd  0.2500  0.8339  0.1680
Gd  0.7500  0.1671  0.3336
Er  0.7500  0.6658  0.3322
Er  0.2500  0.3322  0.6658
Y  0.2500  0.8333  0.6661
Y  0.7500  0.6661  0.8333

Output
Formation enthalpy at 0 K   9 meV per atom
Space group   Ama2
Spin magnetization   0.1 μB per cell

=====

Record 3
Below is an optimized crystal structure of Nd3Sn3Pd2Pt, with properties calculated at the PBE level.

a b c (Å): 7.6428 7.6428 4.1529
angles (deg): 90.00 90.00 120.00
Fractional coordinates of all 9 atoms:
Nd  0.0000  0.4102  0.0000
Nd  0.4102  0.0000  0.0000
Nd  0.5898  0.5898  0.0000
Sn  0.7478  0.0000  0.5000
Sn  0.2522  0.2522  0.5000
Sn  0.0000  0.7478  0.5000
Pd  0.6667  0.3333  0.5000
Pd  0.3333  0.6667  0.5000
Pt  0.0000  0.0000  0.0000

Output
Space group   P-62m
Spin magnetization   0.0 μB per cell

=====

Record 4
Below is an optimized crystal structure of PrSnSbPd2, with properties calculated at the PBE level.

a b c (Å): 4.5129 4.5129 11.0206
angles (deg): 90.00 90.00 90.00
Fractional coordinates of all 10 atoms:
Pr  0.5000  0.0000  0.7627
Pr  0.0000  0.5000  0.2373
Pd  0.0000  0.0000  0.0000
Pd  0.5000  0.5000  0.0000
Pd  0.0000  0.5000  0.6348
Pd  0.5000  0.0000  0.3652
Sb  0.5000  0.0000  0.1311
Sb  0.0000  0.5000  0.8689
Sn  0.0000  0.0000  0.5000
Sn  0.5000  0.5000  0.5000

Output
Space group   P4/nmm
Spin magnetization   0.0 μB per cell

=====

Record 5
Below is an optimized crystal structure of Zn2GaMo, with properties calculated at the PBE level.

a b c (Å): 4.3905 4.3905 4.3905
angles (deg): 60.00 60.00 60.00
Last column: magnetic moment on the atom in μB.
Fractional coordinates of all 4 atoms:
Mo  0.2500  0.2500  0.2500  0.43
Ga  0.5000  0.5000  0.5000  0.00
Zn  0.0000  0.0000  0.0000  -0.01
Zn  0.7500  0.7500  0.7500  -0.01

Output
Space group   F-43m
Spin magnetization   0.5 μB per cell

=====

Record 6
Below is an optimized crystal structure of ReAg2TeS6, with properties calculated at the PBE level.

a b c (Å): 6.8932 6.8932 6.8932
angles (deg): 120.00 90.00 120.00
Fractional coordinates of all 10 atoms:
Re  0.0000  0.0000  0.0000
S  0.7603  0.0000  0.2397
S  0.7603  0.5207  0.7603
S  0.2397  0.0000  0.7603
S  0.7603  0.0000  0.7603
S  0.2397  0.0000  0.2397
S  0.2397  0.4793  0.2397
Ag  0.7500  0.5000  0.2500
Ag  0.2500  0.5000  0.7500
Te  0.5000  0.0000  0.5000

Output
Space group   Fm-3m
Spin magnetization   0.1 μB per cell

=====

Record 7
Below is an optimized crystal structure of RbLuGeS3, with properties calculated at the PBE level.

a b c (Å): 8.5367 3.8721 10.7668
angles (deg): 90.00 110.39 90.00
Fractional coordinates of all 12 atoms:
S  0.3721  0.2500  0.2205
S  0.9046  0.2500  0.1024
S  0.6279  0.7500  0.7795
S  0.1706  0.7500  0.4135
S  0.0954  0.7500  0.8976
S  0.8294  0.2500  0.5865
Rb  0.2715  0.2500  0.7294
Rb  0.7285  0.7500  0.2706
Lu  0.8679  0.2500  0.8476
Lu  0.1321  0.7500  0.1524
Ge  0.3656  0.2500  0.4355
Ge  0.6344  0.7500  0.5645

Output
Space group   P2_1/m
Spin magnetization   0.0 μB per cell
E above lowest polymorph   0.00 eV/f.u.

=====

Record 8
Below is an optimized crystal structure of CuBi2Pb, with properties calculated at the PBE level.

a b c (Å): 5.3632 5.3632 5.3632
angles (deg): 60.00 60.00 60.00
Fractional coordinates of all 4 atoms:
Bi  0.7500  0.7500  0.7500
Bi  0.0000  0.0000  0.0000
Cu  0.2500  0.2500  0.2500
Pb  0.5000  0.5000  0.5000

Output
Space group   F-43m

=====

Record 9
Below is an optimized crystal structure of Zr2Al2NiPd3, with properties calculated at the PBE level.

a b c (Å): 4.2646 4.2646 8.5202
angles (deg): 90.00 90.00 120.00
Fractional coordinates of all 8 atoms:
Pd  0.0000  0.0000  0.5926
Pd  0.3333  0.6667  0.4151
Pd  0.3333  0.6667  0.0822
Zr  0.3333  0.6667  0.7579
Zr  0.0000  0.0000  0.2434
Al  0.6667  0.3333  0.9882
Al  0.6667  0.3333  0.5022
Ni  0.0000  0.0000  0.9183

Output
Space group   P3m1
Spin magnetization   0.0 μB per cell

=====

Record 10
Below is an optimized crystal structure of TaZnNiAg, with properties calculated at the PBE level.

a b c (Å): 4.3942 4.3942 4.3942
angles (deg): 60.00 60.00 60.00
Fractional coordinates of all 4 atoms:
Zn  0.0000  0.0000  0.0000
Ta  0.2500  0.2500  0.2500
Ni  0.7500  0.7500  0.7500
Ag  0.5000  0.5000  0.5000

Output
Formation enthalpy at 0 K   265 meV per atom
Space group   F-43m
Spin magnetization   0.0 μB per cell

=====

Across the entries above, volume takes the values 324.69, 258.12, 210.09, 224.45, 59.84, 231.60, 333.60, 109.09, 134.20, 60.00 Å³/cell, respectively.
Across the entries above, total DFT energy (no corrections) takes the values -5.723, -5.075, -5.702, -5.504, -3.802, -4.046, -5.091, -3.559, -6.472, -5.112 eV per atom, respectively.